No. 1
Density functional theory data (PBE-GGA) for an optimized crystal structure of BeAlZn.

Summary:
energy: -2.80 eV/atom
M_tot: 0.00 μB/cell
energy of formation from the pure elements: 0.118 eV/atom
theoretical density: 3890 kg/m³
Fermi-level density of states: 1.03 states/eV/f.u.
crystal system: trigonal
V: 14.43 Å³ per atom

Unit cell a=3.951 b=3.951 c=6.799 alpha=73.11 beta=73.11 gamma=60.00
Sites, in units of the cell vectors:
Zn 0.875 0.875 0.375
Zn 0.125 0.125 0.625
Be 0.751 0.751 0.748
Be 0.249 0.249 0.252
Al 0.377 0.377 0.870
Al 0.623 0.623 0.130

No. 2
Density functional theory data (PBE-GGA) for an optimized crystal structure of Nd5Tm12Pb3.

Summary:
energy: -3.64 eV/atom
M_tot: 3.01 μB/cell
energy of formation from the pure elements: 0.788 eV/atom
theoretical density: 7145 kg/m³
Fermi-level density of states: 36.22 states/eV/f.u.
crystal system: cubic
V: 39.16 Å³ per atom

Unit cell a=15.966 b=15.966 c=15.966 alpha=109.47 beta=109.47 gamma=109.47
Each line ends with the local moment (μB).
Sites, in units of the cell vectors:
Pb 0.250 0.125 0.375  0.00
Pb 0.125 0.875 0.750  0.00
Pb 0.125 0.250 0.875  0.00
Pb 0.375 0.750 0.625  0.00
Pb 0.375 0.625 0.250  0.00
Pb 0.875 0.125 0.250  0.00
Pb 0.250 0.625 0.875  0.00
Pb 0.875 0.750 0.125  0.00
Pb 0.750 0.375 0.125  0.00
Pb 0.625 0.375 0.750  0.00
Pb 0.750 0.875 0.625  0.00
Pb 0.625 0.250 0.375  0.00
Nd 0.500 0.500 0.500  0.00
Nd 0.875 0.250 0.625  0.08
Nd 0.000 0.500 0.500  0.00
Nd 0.875 0.625 0.750  0.08
Nd 0.000 0.500 0.000  0.00
Nd 0.375 0.250 0.125  0.08
Nd 0.250 0.875 0.125  0.08
Nd 0.500 0.500 0.000  0.00
Nd 0.500 0.000 0.500  0.00
Nd 0.125 0.375 0.250  0.08
Nd 0.750 0.125 0.875  0.08
Nd 0.625 0.750 0.875  0.08
Nd 0.625 0.875 0.250  0.08
Nd 0.250 0.375 0.625  0.08
Nd 0.500 0.000 0.000  0.00
Nd 0.750 0.625 0.375  0.08
Nd 0.000 0.000 0.500  0.00
Nd 0.375 0.125 0.750  0.08
Nd 0.125 0.750 0.375  0.08
Nd 0.000 0.000 0.000  0.00
Tm 0.580 0.349 0.935  0.02
Tm 0.355 0.920 0.769  0.02
Tm 0.080 0.645 0.731  0.02
Tm 0.935 0.086 0.855  0.02
Tm 0.435 0.080 0.349  0.02
Tm 0.580 0.231 0.145  0.02
Tm 0.849 0.935 0.080  0.02
Tm 0.651 0.420 0.565  0.02
Tm 0.920 0.565 0.151  0.02
Tm 0.349 0.580 0.435  0.02
Tm 0.731 0.145 0.080  0.02
Tm 0.231 0.651 0.086  0.02
Tm 0.231 0.580 0.645  0.02
Tm 0.145 0.731 0.580  0.02
Tm 0.769 0.420 0.355  0.02
Tm 0.920 0.355 0.269  0.02
Tm 0.349 0.769 0.414  0.02
Tm 0.731 0.586 0.151  0.02
Tm 0.645 0.080 0.231  0.02
Tm 0.565 0.645 0.414  0.02
Tm 0.414 0.269 0.349  0.02
Tm 0.565 0.920 0.651  0.02
Tm 0.586 0.855 0.435  0.02
Tm 0.769 0.349 0.914  0.02
Tm 0.086 0.935 0.355  0.02
Tm 0.145 0.414 0.065  0.02
Tm 0.065 0.151 0.420  0.02
Tm 0.914 0.065 0.645  0.02
Tm 0.651 0.231 0.586  0.02
Tm 0.151 0.065 0.920  0.02
Tm 0.151 0.086 0.731  0.02
Tm 0.586 0.731 0.651  0.02
Tm 0.080 0.435 0.849  0.02
Tm 0.645 0.565 0.914  0.02
Tm 0.269 0.414 0.849  0.02
Tm 0.086 0.151 0.231  0.02
Tm 0.420 0.651 0.065  0.02
Tm 0.435 0.355 0.586  0.02
Tm 0.855 0.586 0.935  0.02
Tm 0.355 0.435 0.086  0.02
Tm 0.414 0.145 0.565  0.02
Tm 0.849 0.914 0.269  0.02
Tm 0.935 0.849 0.580  0.02
Tm 0.420 0.769 0.855  0.02
Tm 0.065 0.914 0.145  0.02
Tm 0.855 0.269 0.420  0.02
Tm 0.914 0.849 0.769  0.02
Tm 0.269 0.855 0.920  0.02

No. 3
Density functional theory data (PBE-GGA) for an optimized crystal structure of Y2NiW.

Summary:
energy: -7.67 eV/atom
M_tot: 0.00 μB/cell
energy of formation from the pure elements: 0.244 eV/atom
theoretical density: 8454 kg/m³
Fermi-level density of states: 4.27 states/eV/f.u.
crystal system: orthorhombic
V: 20.64 Å³ per atom

Unit cell a=3.490 b=3.234 c=8.000 alpha=66.12 beta=90.00 gamma=90.00
Sites, in units of the cell vectors:
W 0.500 0.750 0.750
Y 0.000 0.514 0.486
Y 0.000 0.986 0.014
Ni 0.500 0.250 0.250